Compound: ZrFeCl2
Source: the Alexandria database
Functional: PBE
Structure: relaxed

a b c (Å): 4.2094 4.2094 7.7692
angles (deg): 90.00 90.00 90.00
Space group I4/mmm (No. 139)
Symmetry-distinct sites (fractional):
Zr  0.0000  0.0000  0.0000 x2
Fe  0.0000  0.0000  0.5000 x2
Cl  0.0000  0.5000  0.2500 x4

Results
* volume: 137.7 Å³/cell
* formation energy (no corrections): -0.2 eV/f.u.
* magnetic moment: 2.7 μB/f.u.

Compound: ZrFeCl
Source: the Alexandria database
Functional: PBE
Structure: relaxed

a b c (Å): 5.9399 5.9399 5.9399
angles (deg): 90.00 90.00 90.00
Space group F-43m (No. 216)
Symmetry-distinct sites (fractional):
Zr  0.0000  0.0000  0.0000 x4
Fe  0.2500  0.2500  0.2500 x4
Cl  0.0000  0.0000  0.5000 x4

Results
* volume: 209.6 Å³/cell
* formation energy (no corrections): 1.1 eV/f.u.
* magnetic moment: 0.0 μB/f.u.

Compound: ZrFeCl2
Source: the Alexandria database
Functional: PBE
Structure: relaxed

a b c (Å): 4.5244 3.1852 5.2599
angles (deg): 90.00 114.39 90.00
Space group P2/m (No. 10)
Symmetry-distinct sites (fractional):
Zr  0.0000  0.0000  0.0000 x1
Fe  0.0000  0.5000  0.5000 x1
Cl  0.5000  0.0000  0.5000 x1
Cl  0.5000  0.5000  0.0000 x1

Results
* volume: 69.0 Å³/cell
* formation energy (no corrections): -1.1 eV/f.u.
* magnetic moment: 2.4 μB/f.u.

Compound: ZrFeCl2
Source: the Alexandria database
Functional: PBE
Structure: relaxed

a b c (Å): 3.0287 6.0402 8.3359
angles (deg): 90.00 90.00 90.00
Space group Cmmm (No. 65)
Symmetry-distinct sites (fractional):
Zr  0.0000  0.0000  0.0000 x2
Fe  0.0000  0.0000  0.5000 x2
Cl  0.0000  0.5000  0.2636 x4

Results
* volume: 152.5 Å³/cell
* formation energy (no corrections): -0.7 eV/f.u.
* magnetic moment: 3.0 μB/f.u.

Compound: ZrFeCl
Source: the Alexandria database
Functional: PBE
Structure: relaxed

a b c (Å): 3.9961 4.7015 13.5327
angles (deg): 90.00 90.00 90.00
Space group Fmm2 (No. 42)
Symmetry-distinct sites (fractional):
Zr  0.0000  0.0000  0.0000 x4
Fe  0.0000  0.0000  0.3690 x4
Cl  0.0000  0.0000  0.6350 x4

Results
* volume: 254.2 Å³/cell
* formation energy (no corrections): -0.4 eV/f.u.
* magnetic moment: 2.3 μB/f.u.

Compound: ZrFeCl2
Source: the Alexandria database
Functional: PBE
Structure: relaxed

a b c (Å): 4.2429 4.2429 3.6831
angles (deg): 90.00 90.00 90.00
Space group P4/mmm (No. 123)
Symmetry-distinct sites (fractional):
Zr  0.0000  0.0000  0.0000 x1
Fe  0.5000  0.5000  0.0000 x1
Cl  0.0000  0.5000  0.5000 x2

Results
* volume: 66.3 Å³/cell
* formation energy (no corrections): -0.1 eV/f.u.
* magnetic moment: 1.9 μB/f.u.

Compound: ZrFeCl2
Source: the Alexandria database
Functional: PBE
Structure: relaxed

a b c (Å): 14.0169 3.2957 4.1009
angles (deg): 90.00 90.97 90.00
Space group C2/m (No. 12)
Symmetry-distinct sites (fractional):
Zr  0.0000  0.0000  0.0000 x2
Fe  0.0000  0.5000  0.5000 x2
Cl  0.1359  0.5000  0.2232 x4

Results
* volume: 189.4 Å³/cell
* formation energy (no corrections): -2.5 eV/f.u.
* magnetic moment: 0.8 μB/f.u.

Compound: ZrFeCl
Source: the Alexandria database
Functional: PBE
Structure: relaxed

a b c (Å): 3.3526 3.3526 6.2672
angles (deg): 90.00 90.00 120.00
Space group P3m1 (No. 156)
Symmetry-distinct sites (fractional):
Zr  0.0000  0.0000  0.0000 x1
Fe  0.6667  0.3333  0.7318 x1
Cl  0.3333  0.6667  0.3063 x1

Results
* volume: 61.0 Å³/cell
* formation energy (no corrections): -0.7 eV/f.u.
* magnetic moment: 1.1 μB/f.u.

Compound: ZrFeCl2
Source: the Alexandria database
Functional: PBE
Structure: relaxed

a b c (Å): 3.7086 3.7086 10.1783
angles (deg): 90.00 90.00 90.00
Space group I-4m2 (No. 119)
Symmetry-distinct sites (fractional):
Zr  0.0000  0.0000  0.0000 x2
Fe  0.0000  0.5000  0.2500 x2
Cl  0.0000  0.0000  0.5000 x2
Cl  0.0000  0.5000  0.7500 x2

Results
* volume: 140.0 Å³/cell
* formation energy (no corrections): -0.2 eV/f.u.
* magnetic moment: 1.7 μB/f.u.

Compound: ZrFeCl2
Source: the Alexandria database
Functional: PBE
Structure: relaxed

a b c (Å): 3.2052 3.2052 25.3428
angles (deg): 90.00 90.00 120.00
Space group R-3m (No. 166, hexagonal axes)
Symmetry-distinct sites (fractional):
Zr  0.0000  0.0000  0.0000 x3
Fe  0.0000  0.0000  0.5000 x3
Cl  0.0000  0.0000  0.4082 x6

Results
* volume: 225.5 Å³/cell
* formation energy (no corrections): -1.7 eV/f.u.
* magnetic moment: 2.7 μB/f.u.

Compound: GaCl3
Source: the Alexandria database
Functional: PBE
Structure: relaxed

a b c (Å): 7.4597 13.3041 7.1760
angles (deg): 90.00 90.00 90.00
Space group Cmcm (No. 63)
Symmetry-distinct sites (fractional):
Ga  0.0000  0.2445  0.2500 x4
Cl  0.0000  0.0859  0.2500 x4
Cl  0.2444  0.3266  0.2500 x8

Results
* volume: 712.2 Å³/cell
* formation energy (no corrections): -4.1 eV/f.u.
* magnetic moment: 0.0 μB/f.u.

Compound: Ga3Cl7
Source: the Alexandria database
Functional: PBE
Structure: relaxed

a b c (Å): 12.7126 9.0114 11.5270
angles (deg): 90.00 90.00 90.00
Space group Pna2_1 (No. 33)
Symmetry-distinct sites (fractional):
Ga  0.0958  0.1086  0.0000 x4
Ga  0.1338  0.6141  0.0540 x4
Ga  0.1724  0.0579  0.3045 x4
Cl  0.0251  0.7968  0.0888 x4
Cl  0.0318  0.1693  0.2343 x4
Cl  0.0588  0.4397  0.9517 x4
Cl  0.1350  0.8697  0.4153 x4
Cl  0.2194  0.5192  0.6615 x4
Cl  0.2267  0.5394  0.1981 x4
Cl  0.2491  0.2338  0.4234 x4

Results
* volume: 1320.5 Å³/cell
* formation energy (no corrections): -10.6 eV/f.u.
* magnetic moment: 0.0 μB/f.u.

Q: Which value of formation energy (no corrections) does entry 4 give?
A: -0.7 eV/f.u.